Record 1
Material: BaNi
Method: DFT, PBE-GGA
State: relaxed

```
data_BaNi
_chemical_formula_sum 'Ba4 Ni4'
_space_group_name_H-M_alt 'P 42/m n m'
_space_group_IT_number 136
_space_group_name_Hall '-P 4n 2n'
_cell_length_a 6.465
_cell_length_b 6.465
_cell_length_c 6.063
_cell_angle_alpha 90.00
_cell_angle_beta 90.00
_cell_angle_gamma 90.00
loop_
_atom_site_label
_atom_site_type_symbol
_atom_site_fract_x
_atom_site_fract_y
_atom_site_fract_z
Ba1 Ba 0.197 0.197 0.000
Ni1 Ni 0.130 0.130 0.500
```

Values from the calculation:
Energy: -3.5754 eV per atom
Total magnetic moment: 0.29 Bohr magnetons per cell

=====

Record 2
Material: RbNd2AgO4
Method: DFT, PBE-GGA
State: relaxed

```
data_RbNd2AgO4
_chemical_formula_sum 'Rb4 Nd8 Ag4 O16'
_space_group_name_H-M_alt 'C m c m'
_space_group_IT_number 63
_space_group_name_Hall '-C 2c 2'
_cell_length_a 3.702
_cell_length_b 12.352
_cell_length_c 12.773
_cell_angle_alpha 90.00
_cell_angle_beta 90.00
_cell_angle_gamma 90.00
loop_
_atom_site_label
_atom_site_type_symbol
_atom_site_fract_x
_atom_site_fract_y
_atom_site_fract_z
Rb1 Rb 0.000 0.085 0.250
Nd1 Nd 0.000 0.368 0.061
Ag1 Ag 0.000 0.197 0.750
O1 O 0.000 0.000 0.000
O2 O 0.000 0.251 0.585
O3 O 0.000 0.420 0.250
```

Values from the calculation:
Formation energy from raw total energies: -2.227 eV per atom
Energy: -6.3753 eV per atom
Total magnetic moment: 0.00 Bohr magnetons per cell

=====

Record 3
Material: PaAl2Au
Method: DFT, PBE-GGA
State: relaxed

```
data_PaAl2Au
_chemical_formula_sum 'Pa1 Al2 Au1'
_space_group_name_H-M_alt 'P 4/m m m'
_space_group_IT_number 123
_space_group_name_Hall '-P 4 2'
_cell_length_a 3.232
_cell_length_b 3.232
_cell_length_c 7.354
_cell_angle_alpha 90.00
_cell_angle_beta 90.00
_cell_angle_gamma 90.00
loop_
_atom_site_label
_atom_site_type_symbol
_atom_site_fract_x
_atom_site_fract_y
_atom_site_fract_z
Pa1 Pa 0.000 0.000 0.000
Al1 Al 0.500 0.500 0.289
Au1 Au 0.000 0.000 0.500
```

Values from the calculation:
Relative energy among the computed polymorphs: 126.9 meV per atom
Energy: -5.3176 eV per atom
Total magnetic moment: 0.00 Bohr magnetons per cell

=====

Record 4
Material: Y4Mg2Zn
Method: DFT, PBE-GGA
State: relaxed

```
data_Y4Mg2Zn
_chemical_formula_sum 'Y12 Mg6 Zn3'
_space_group_name_H-M_alt 'R -3 m'
_space_group_IT_number 166
_space_group_name_Hall '-R 3 2"'
_cell_length_a 5.2269
_cell_length_b 5.2269
_cell_length_c 25.3899
_cell_angle_alpha 90.00
_cell_angle_beta 90.00
_cell_angle_gamma 120.00
loop_
_atom_site_label
_atom_site_type_symbol
_atom_site_fract_x
_atom_site_fract_y
_atom_site_fract_z
Y1 Y 0.0000 0.0000 0.1232
Y2 Y 0.0000 0.0000 0.3746
Mg1 Mg 0.0000 0.0000 0.2475
Zn1 Zn 0.0000 0.0000 0.5000
```

Values from the calculation:
Energy: -4.2843 eV per atom
Total magnetic moment: 0.00 Bohr magnetons per cell

=====

Record 5
Material: MgNb2PSe
Method: DFT, PBE-GGA
State: relaxed

```
data_MgNb2PSe
_chemical_formula_sum 'Mg1 Nb2 P1 Se1'
_space_group_name_H-M_alt 'P 4/m m m'
_space_group_IT_number 123
_space_group_name_Hall '-P 4 2'
_cell_length_a 4.959
_cell_length_b 4.959
_cell_length_c 4.377
_cell_angle_alpha 90.00
_cell_angle_beta 90.00
_cell_angle_gamma 90.00
loop_
_atom_site_label
_atom_site_type_symbol
_atom_site_fract_x
_atom_site_fract_y
_atom_site_fract_z
Mg1 Mg 0.000 0.000 0.000
Nb1 Nb 0.000 0.500 0.000
P1 P 0.500 0.500 0.500
Se1 Se 0.000 0.000 0.500
```

Values from the calculation:
Formation energy from raw total energies: 1.489 eV per atom
Energy: -4.6367 eV per atom
Total magnetic moment: 0.00 Bohr magnetons per cell

=====

Record 6
Material: Zr2CI2
Method: DFT, PBE-GGA
State: relaxed

```
data_Zr2CI2
_chemical_formula_sum 'Zr4 C2 I4'
_space_group_name_H-M_alt 'I 4/m m m'
_space_group_IT_number 139
_space_group_name_Hall '-I 4 2'
_cell_length_a 4.599
_cell_length_b 4.599
_cell_length_c 12.861
_cell_angle_alpha 90.00
_cell_angle_beta 90.00
_cell_angle_gamma 90.00
loop_
_atom_site_label
_atom_site_type_symbol
_atom_site_fract_x
_atom_site_fract_y
_atom_site_fract_z
Zr1 Zr 0.000 0.000 0.108
C1 C 0.000 0.000 0.500
I1 I 0.000 0.500 0.250
```

Values from the calculation:
Formation energy from raw total energies: 1.458 eV per atom
Energy: -4.4260 eV per atom
Total magnetic moment: 0.00 Bohr magnetons per cell

=====

Record 7
Material: AcIn2CuPd4
Method: DFT, PBE-GGA
State: relaxed

```
data_AcIn2CuPd4
_chemical_formula_sum 'Ac3 In6 Cu3 Pd12'
_space_group_name_H-M_alt 'R -3 m'
_space_group_IT_number 166
_space_group_name_Hall '-R 3 2"'
_cell_length_a 4.5415
_cell_length_b 4.5415
_cell_length_c 27.0180
_cell_angle_alpha 90.00
_cell_angle_beta 90.00
_cell_angle_gamma 120.00
loop_
_atom_site_label
_atom_site_type_symbol
_atom_site_fract_x
_atom_site_fract_y
_atom_site_fract_z
Ac1 Ac 0.0000 0.0000 0.0000
In1 In 0.0000 0.0000 0.2338
Cu1 Cu 0.0000 0.0000 0.5000
Pd1 Pd 0.0000 0.0000 0.1313
Pd2 Pd 0.0000 0.0000 0.4039
```

Values from the calculation:
Energy: -4.8476 eV per atom
Total magnetic moment: 0.00 Bohr magnetons per cell

=====

Record 8
Material: Zn2CuSnPt
Method: DFT, PBE-GGA
State: relaxed

```
data_Zn2CuSnPt
_chemical_formula_sum 'Zn2 Cu1 Sn1 Pt1'
_space_group_name_H-M_alt 'P 4/m m m'
_space_group_IT_number 123
_space_group_name_Hall '-P 4 2'
_cell_length_a 4.844
_cell_length_b 4.844
_cell_length_c 5.074
_cell_angle_alpha 90.00
_cell_angle_beta 90.00
_cell_angle_gamma 90.00
loop_
_atom_site_label
_atom_site_type_symbol
_atom_site_fract_x
_atom_site_fract_y
_atom_site_fract_z
Zn1 Zn 0.000 0.500 0.000
Cu1 Cu 0.000 0.000 0.500
Sn1 Sn 0.500 0.500 0.500
Pt1 Pt 0.500 0.500 0.000
```

Values from the calculation:
Energy: -3.0881 eV per atom
Total magnetic moment: 0.00 Bohr magnetons per cell

=====

Record 9
Material: Sr2BiI
Method: DFT, PBE-GGA
State: relaxed

```
data_Sr2BiI
_chemical_formula_sum 'Sr8 Bi4 I4'
_space_group_name_H-M_alt 'P b c m'
_space_group_IT_number 57
_cell_length_a 9.787
_cell_length_b 8.223
_cell_length_c 8.379
_cell_angle_alpha 90.00
_cell_angle_beta 90.00
_cell_angle_gamma 90.00
loop_
_space_group_symop_operation_xyz
'x,y,z'
'-x,-y,-z'
'-x,-y,z+1/2'
'x,y,-z+1/2'
'x,-y+1/2,-z'
'-x,y+1/2,z'
'-x,y+1/2,-z+1/2'
'x,-y+1/2,z+1/2'
loop_
_atom_site_label
_atom_site_type_symbol
_atom_site_fract_x
_atom_site_fract_y
_atom_site_fract_z
Sr1 Sr 0.089 0.250 0.000
Sr2 Sr 0.351 0.750 0.000
Bi1 Bi 0.141 0.569 0.250
I1 I 0.385 0.086 0.250
```

Values from the calculation:
Formation energy from raw total energies: -1.171 eV per atom
Energy: -3.3693 eV per atom
Total magnetic moment: 0.00 Bohr magnetons per cell

=====

Record 10
Material: SrTm2ScSe4
Method: DFT, PBE-GGA
State: relaxed

```
data_SrTm2ScSe4
_chemical_formula_sum 'Sr2 Tm4 Sc2 Se8'
_space_group_name_H-M_alt 'I -4 m 2'
_space_group_IT_number 119
_space_group_name_Hall 'I -4 -2'
_cell_length_a 5.770
_cell_length_b 5.770
_cell_length_c 11.549
_cell_angle_alpha 90.00
_cell_angle_beta 90.00
_cell_angle_gamma 90.00
loop_
_atom_site_label
_atom_site_type_symbol
_atom_site_fract_x
_atom_site_fract_y
_atom_site_fract_z
Sr1 Sr 0.000 0.000 0.000
Tm1 Tm 0.000 0.000 0.500
Tm2 Tm 0.000 0.500 0.250
Sc1 Sc 0.000 0.500 0.750
Se1 Se 0.000 0.000 0.257
Se2 Se 0.000 0.500 0.502
```

Values from the calculation:
Formation energy from raw total energies: -1.663 eV per atom
Energy: -5.5247 eV per atom
Total magnetic moment: 0.00 Bohr magnetons per cell

=====

Record 11
Material: Be2SiSb
Method: DFT, PBE-GGA
State: relaxed

```
data_Be2SiSb
_chemical_formula_sum 'Be4 Si2 Sb2'
_space_group_name_H-M_alt 'C 1 m 1'
_space_group_IT_number 8
_cell_length_a 7.298
_cell_length_b 3.431
_cell_length_c 5.743
_cell_angle_alpha 90.00
_cell_angle_beta 113.47
_cell_angle_gamma 90.00
loop_
_space_group_symop_operation_xyz
'x,y,z'
'x,-y,z'
'x+1/2,y+1/2,z'
'x+1/2,-y+1/2,z'
loop_
_atom_site_label
_atom_site_type_symbol
_atom_site_fract_x
_atom_site_fract_y
_atom_site_fract_z
Be1 Be 0.000 0.000 0.000
Be2 Be 0.237 0.000 0.856
Si1 Si 0.493 0.000 0.722
Sb1 Sb 0.296 0.500 0.250
```

Values from the calculation:
Relative energy among the computed polymorphs: 0.0 meV per atom
Formation energy from raw total energies: 0.319 eV per atom
Energy: -3.9300 eV per atom
Total magnetic moment: 0.00 Bohr magnetons per cell

=====

Record 12
Material: LaPbSe2O
Method: DFT, PBE-GGA
State: relaxed

```
data_LaPbSe2O
_chemical_formula_sum 'La2 Pb2 Se4 O2'
_space_group_name_H-M_alt 'P 4/n m m'
_space_group_IT_number 129
_cell_length_a 4.088
_cell_length_b 4.088
_cell_length_c 15.551
_cell_angle_alpha 90.00
_cell_angle_beta 90.00
_cell_angle_gamma 90.00
loop_
_space_group_symop_operation_xyz
'x,y,z'
'-x,-y,-z'
'-y+1/2,x,z'
'y+1/2,-x,-z'
'-x+1/2,-y+1/2,z'
'x+1/2,y+1/2,-z'
'y,-x+1/2,z'
'-y,x+1/2,-z'
'x+1/2,-y,-z'
'-x+1/2,y,z'
'-y,-x,-z'
'y,x,z'
'-x,y+1/2,-z'
'x,-y+1/2,z'
'y+1/2,x+1/2,-z'
'-y+1/2,-x+1/2,z'
loop_
_atom_site_label
_atom_site_type_symbol
_atom_site_fract_x
_atom_site_fract_y
_atom_site_fract_z
La1 La 0.250 0.250 0.080
Pb1 Pb 0.250 0.250 0.644
Se1 Se 0.250 0.250 0.404
Se2 Se 0.250 0.250 0.818
O1 O 0.250 0.750 0.000
```

Values from the calculation:
Formation energy from raw total energies: -1.681 eV per atom
Energy: -5.7932 eV per atom
Total magnetic moment: 0.00 Bohr magnetons per cell